{
  "formula": "Ca2CrMo",
  "functional": "GGA-PBEsol",
  "state": "relaxed",
  "lattice": [[-2.095, 2.095, 4.853], [2.095, -2.095, 4.853], [2.095, 2.095, -4.853]],
  "species": ["Ca", "Ca", "Cr", "Mo"],
  "frac_coords": [[0.250, 0.750, 0.500], [0.750, 0.250, 0.500], [0.000, 0.000, 0.000], [0.500, 0.500, 0.000]],
  "final_energy_ev_per_atom": -5.544,
  "m_tot_mub_per_atom": 0.53,
  "spacegroup": "I4/mmm, No. 139",
  "formation_enthalpy_0k_ev_per_atom": 1.025,
  "vol_a3_per_cell": 85.2,
  "n_ef_per_ev_cell": 2.902
}

{
  "formula": "Ca4CrN4",
  "functional": "GGA-PBEsol",
  "state": "relaxed",
  "lattice": [[10.951, 0.000, 0.000], [0.000, 4.880, 0.000], [0.000, 0.000, 10.851]],
  "species": ["Ca", "Ca", "Ca", "Ca", "Ca", "Ca", "Ca", "Ca", "Ca", "Ca", "Ca", "Ca", "Ca", "Ca", "Ca", "Ca", "Cr", "Cr", "Cr", "Cr", "N", "N", "N", "N", "N", "N", "N", "N", "N", "N", "N", "N", "N", "N", "N", "N"],
  "frac_coords": [[0.057, 0.250, 0.113], [0.091, 0.750, 0.317], [0.130, 0.750, 0.661], [0.230, 0.250, 0.477], [0.270, 0.750, 0.977], [0.370, 0.250, 0.161], [0.409, 0.250, 0.817], [0.443, 0.750, 0.613], [0.557, 0.250, 0.387], [0.591, 0.750, 0.183], [0.630, 0.750, 0.839], [0.730, 0.250, 0.023], [0.770, 0.750, 0.523], [0.870, 0.250, 0.339], [0.909, 0.250, 0.683], [0.943, 0.750, 0.887], [0.131, 0.250, 0.852], [0.369, 0.750, 0.352], [0.631, 0.250, 0.648], [0.869, 0.750, 0.148], [0.017, 0.750, 0.105], [0.077, 0.250, 0.331], [0.165, 0.250, 0.698], [0.237, 0.250, 0.971], [0.263, 0.750, 0.471], [0.335, 0.750, 0.198], [0.423, 0.750, 0.831], [0.483, 0.250, 0.605], [0.517, 0.750, 0.395], [0.577, 0.250, 0.169], [0.665, 0.250, 0.802], [0.737, 0.250, 0.529], [0.763, 0.750, 0.029], [0.835, 0.750, 0.302], [0.923, 0.750, 0.669], [0.983, 0.250, 0.895]],
  "final_energy_ev_per_atom": -6.875,
  "m_tot_mub_per_atom": 0.00,
  "spacegroup": "Pnma, No. 62",
  "vol_a3_per_cell": 579.9,
  "e_form_raw_ev_per_atom": -0.999
}

{
  "formula": "Ca7CrN6",
  "functional": "GGA-PBEsol",
  "state": "relaxed",
  "lattice": [[10.839, 0.000, 0.000], [0.000, 6.170, 0.000], [0.000, 0.000, 12.848]],
  "species": ["Ca", "Ca", "Ca", "Ca", "Ca", "Ca", "Ca", "Ca", "Ca", "Ca", "Ca", "Ca", "Ca", "Ca", "Ca", "Ca", "Ca", "Ca", "Ca", "Ca", "Ca", "Ca", "Ca", "Ca", "Ca", "Ca", "Ca", "Ca", "Cr", "Cr", "Cr", "Cr", "N", "N", "N", "N", "N", "N", "N", "N", "N", "N", "N", "N", "N", "N", "N", "N", "N", "N", "N", "N", "N", "N", "N", "N"],
  "frac_coords": [[0.000, 0.060, 0.250], [0.000, 0.940, 0.750], [0.037, 0.232, 0.523], [0.037, 0.768, 0.023], [0.206, 0.390, 0.120], [0.206, 0.610, 0.620], [0.229, 0.352, 0.874], [0.229, 0.648, 0.374], [0.271, 0.148, 0.374], [0.271, 0.852, 0.874], [0.294, 0.110, 0.620], [0.294, 0.890, 0.120], [0.463, 0.268, 0.023], [0.463, 0.732, 0.523], [0.500, 0.440, 0.750], [0.500, 0.560, 0.250], [0.537, 0.268, 0.477], [0.537, 0.732, 0.977], [0.706, 0.110, 0.880], [0.706, 0.890, 0.380], [0.729, 0.148, 0.126], [0.729, 0.852, 0.626], [0.771, 0.352, 0.626], [0.771, 0.648, 0.126], [0.794, 0.390, 0.380], [0.794, 0.610, 0.880], [0.963, 0.232, 0.977], [0.963, 0.768, 0.477], [0.000, 0.433, 0.750], [0.000, 0.567, 0.250], [0.500, 0.067, 0.250], [0.500, 0.933, 0.750], [0.049, 0.398, 0.357], [0.049, 0.602, 0.857], [0.126, 0.262, 0.707], [0.126, 0.738, 0.207], [0.166, 0.090, 0.997], [0.166, 0.910, 0.497], [0.334, 0.410, 0.497], [0.334, 0.590, 0.997], [0.374, 0.238, 0.207], [0.374, 0.762, 0.707], [0.451, 0.102, 0.857], [0.451, 0.898, 0.357], [0.549, 0.102, 0.643], [0.549, 0.898, 0.143], [0.626, 0.238, 0.293], [0.626, 0.762, 0.793], [0.666, 0.410, 0.003], [0.666, 0.590, 0.503], [0.834, 0.090, 0.503], [0.834, 0.910, 0.003], [0.874, 0.262, 0.793], [0.874, 0.738, 0.293], [0.951, 0.398, 0.143], [0.951, 0.602, 0.643]],
  "final_energy_ev_per_atom": -6.420,
  "m_tot_mub_per_atom": 0.13,
  "spacegroup": "Pbcn, No. 60",
  "vol_a3_per_cell": 859.2,
  "n_ef_per_ev_cell": 14.349,
  "e_form_raw_ev_per_atom": -0.968
}

{
  "formula": "CaCrN2",
  "functional": "GGA-PBEsol",
  "state": "relaxed",
  "lattice": [[3.639, 0.000, 0.000], [0.000, 3.639, 0.000], [0.000, 0.000, 7.259]],
  "species": ["Ca", "Ca", "Cr", "Cr", "N", "N", "N", "N"],
  "frac_coords": [[0.250, 0.250, 0.160], [0.750, 0.750, 0.840], [0.250, 0.250, 0.593], [0.750, 0.750, 0.407], [0.250, 0.250, 0.834], [0.250, 0.750, 0.500], [0.750, 0.250, 0.500], [0.750, 0.750, 0.166]],
  "final_energy_ev_per_atom": -8.267,
  "m_tot_mub_per_atom": 0.43,
  "spacegroup": "P4/nmm, No. 129",
  "vol_a3_per_cell": 96.1,
  "n_ef_per_ev_cell": 2.761,
  "e_form_raw_ev_per_atom": -0.910
}

{
  "formula": "CaCr3N",
  "functional": "GGA-PBEsol",
  "state": "relaxed",
  "lattice": [[3.949, 0.000, 0.000], [0.000, 3.949, 0.000], [0.000, 0.000, 3.949]],
  "species": ["Ca", "Cr", "Cr", "Cr", "N"],
  "frac_coords": [[0.000, 0.000, 0.000], [0.000, 0.500, 0.500], [0.500, 0.000, 0.500], [0.500, 0.500, 0.000], [0.500, 0.500, 0.500]],
  "final_energy_ev_per_atom": -8.003,
  "m_tot_mub_per_atom": 0.00,
  "spacegroup": "Pm-3m, No. 221",
  "vol_a3_per_cell": 61.6,
  "n_ef_per_ev_cell": 5.005,
  "e_form_raw_ev_per_atom": 0.274
}

{
  "formula": "CaCrN2",
  "functional": "GGA-PBEsol",
  "state": "relaxed",
  "lattice": [[-2.680, 2.680, 3.546], [2.680, -2.680, 3.546], [2.680, 2.680, -3.546]],
  "species": ["Ca", "Ca", "Cr", "Cr", "N", "N", "N", "N"],
  "frac_coords": [[0.000, 0.000, 0.000], [0.750, 0.250, 0.500], [0.250, 0.750, 0.500], [0.500, 0.500, 0.000], [0.208, 0.125, 0.583], [0.375, 0.792, 0.917], [0.542, 0.625, 0.417], [0.875, 0.458, 0.083]],
  "final_energy_ev_per_atom": -8.189,
  "m_tot_mub_per_atom": 0.51,
  "spacegroup": "I-42d, No. 122",
  "vol_a3_per_cell": 101.9,
  "n_ef_per_ev_cell": 2.353,
  "e_form_raw_ev_per_atom": -0.832
}

> What is the formula in the second record?

Ca4CrN4